(1)
## Ce2NdGa6 (PBE)

Data for a relaxed structure of Ce2NdGa6.

Results
crystal system = hexagonal
mass density = 6.958 g/cm³
ΔH_f (0 K) = -0.619 eV per atom
uncorrected energy = -4.485 eV/atom

Cell: 7.4069 7.4069 4.2332 Å, 90.00 90.00 120.00°
Closest atoms and distances in Å follow each position.
Atoms (fractional coordinates):
Ce1 0.3333 0.6667 0.0000  12 Ga 3.25
Ce2 0.6667 0.3333 0.0000  12 Ga 3.25
Nd1 0.0000 0.0000 0.0000  12 Ga 3.26
Ga1 0.0000 0.3340 0.5000  3 Ga 2.46-2.47
Ga2 0.0000 0.6660 0.5000  3 Ga 2.46-2.47
Ga3 0.3340 0.0000 0.5000  3 Ga 2.46-2.47
Ga4 0.3340 0.3340 0.5000  3 Ga 2.46-2.47
Ga5 0.6660 0.0000 0.5000  3 Ga 2.46-2.47
Ga6 0.6660 0.6660 0.5000  3 Ga 2.46-2.47


(2)
## LaTaMo (PBE)

Data for a relaxed structure of LaTaMo.

Results
crystal system = orthorhombic
mass density = 10.452 g/cm³
ΔH_f (0 K) = 0.276 eV per atom
uncorrected energy = -8.928 eV/atom

Cell: 5.6250 5.8565 8.0208 Å, 90.00 90.00 90.00°
Closest atoms and distances in Å follow each position.
Atoms (fractional coordinates):
La1 0.0000 0.2500 0.1228  6 Mo 3.30-3.40, 6 Ta 3.32-3.36, 4 La 3.48-3.53
La2 0.0000 0.7500 0.8772  6 Mo 3.30-3.40, 6 Ta 3.32-3.36, 4 La 3.48-3.53
La3 0.5000 0.2500 0.3772  6 Mo 3.30-3.40, 6 Ta 3.32-3.36, 4 La 3.48-3.53
La4 0.5000 0.7500 0.6228  6 Mo 3.30-3.40, 6 Ta 3.32-3.36, 4 La 3.48-3.53
Ta1 0.0000 0.0000 0.5000  4 Mo 2.85, 2 Ta 2.93
Ta2 0.0000 0.5000 0.5000  4 Mo 2.85, 2 Ta 2.93
Ta3 0.5000 0.0000 0.0000  4 Mo 2.85, 2 Ta 2.93
Ta4 0.5000 0.5000 0.0000  4 Mo 2.85, 2 Ta 2.93
Mo1 0.2500 0.2500 0.7500  2 Mo 2.81, 4 Ta 2.85
Mo2 0.2500 0.7500 0.2500  2 Mo 2.81, 4 Ta 2.85
Mo3 0.7500 0.2500 0.7500  2 Mo 2.81, 4 Ta 2.85
Mo4 0.7500 0.7500 0.2500  2 Mo 2.81, 4 Ta 2.85


(3)
## Pm2Ho3Cu2 (PBE)

Data for a relaxed structure of Pm2Ho3Cu2.

Results
crystal system = monoclinic
mass density = 8.185 g/cm³
ΔH_f (0 K) = -0.115 eV per atom
uncorrected energy = -4.605 eV/atom

Cell: 12.6347 3.6339 9.0801 Å, 90.00 117.44 90.00°
Closest atoms and distances in Å follow each position.
Atoms (fractional coordinates):
Pm1 0.1554 0.0000 0.3127  2 Cu 3.07
Pm2 0.3446 0.5000 0.6873  2 Cu 3.07
Pm3 0.6554 0.5000 0.3127  2 Cu 3.07
Pm4 0.8446 0.0000 0.6873  2 Cu 3.07
Ho1 0.0000 0.5000 0.5000  4 Cu 2.84
Ho2 0.1151 0.5000 0.9441  3 Cu 2.92-2.96
Ho3 0.3849 0.0000 0.0559  3 Cu 2.92-2.96
Ho4 0.5000 0.0000 0.5000  4 Cu 2.84
Ho5 0.6151 0.0000 0.9441  3 Cu 2.92-2.96
Ho6 0.8849 0.5000 0.0559  3 Cu 2.92-2.96
Cu1 0.1657 0.0000 0.7332  5 Ho 2.84-2.96, 2 Pm 3.07
Cu2 0.3343 0.5000 0.2668  5 Ho 2.84-2.96, 2 Pm 3.07
Cu3 0.6657 0.5000 0.7332  5 Ho 2.84-2.96, 2 Pm 3.07
Cu4 0.8343 0.0000 0.2668  5 Ho 2.84-2.96, 2 Pm 3.07


(4)
## Ac3Sn2Au2 (PBE)

Data for a relaxed structure of Ac3Sn2Au2.

Results
crystal system = monoclinic
mass density = 9.711 g/cm³
ΔH_f (0 K) = -0.778 eV per atom
uncorrected energy = -4.619 eV/atom

Cell: 12.1593 4.7364 8.2906 Å, 90.00 109.95 90.00°
Closest atoms and distances in Å follow each position.
Atoms (fractional coordinates):
Ac1 0.0000 0.0000 0.0000  6 Au 3.38-3.76, 4 Sn 3.62
Ac2 0.1757 0.0000 0.6600  3 Au 3.23-3.27, 5 Sn 3.39-3.58
Ac3 0.3243 0.5000 0.3400  3 Au 3.23-3.27, 5 Sn 3.39-3.58
Ac4 0.5000 0.5000 0.0000  6 Au 3.38-3.76, 4 Sn 3.62
Ac5 0.6757 0.5000 0.6600  3 Au 3.23-3.27, 5 Sn 3.39-3.58
Ac6 0.8243 0.0000 0.3400  3 Au 3.23-3.27, 5 Sn 3.39-3.58
Sn1 0.0472 0.5000 0.3473  1 Au 2.93, 1 Sn 3.12
Sn2 0.4528 0.0000 0.6527  1 Au 2.93, 1 Sn 3.12
Sn3 0.5472 0.0000 0.3473  1 Au 2.93, 1 Sn 3.12
Sn4 0.9528 0.5000 0.6527  1 Au 2.93, 1 Sn 3.12
Au1 0.1783 0.5000 0.9340  2 Au 2.92, 1 Sn 2.93, 1 Ac 3.23
Au2 0.3217 0.0000 0.0660  2 Au 2.92, 1 Sn 2.93, 1 Ac 3.23
Au3 0.6783 0.0000 0.9340  2 Au 2.92, 1 Sn 2.93, 1 Ac 3.23
Au4 0.8217 0.5000 0.0660  2 Au 2.92, 1 Sn 2.93, 1 Ac 3.23


(5)
## RbPa2AuSe8 (PBE)

Data for a relaxed structure of RbPa2AuSe8.

Results
crystal system = trigonal
mass density = 6.665 g/cm³
uncorrected energy = -4.991 eV/atom

Cell: 6.5233 6.5233 9.3040 Å, 90.00 90.00 120.00°
Closest atoms and distances in Å follow each position.
Atoms (fractional coordinates):
Rb1 0.0000 0.0000 0.0000  12 Se 3.76-3.92
Pa1 0.3333 0.6667 0.3948  1 Se 2.57
Pa2 0.6667 0.3333 0.6052  1 Se 2.57
Au1 0.0000 0.0000 0.5000  6 Se 2.56
Se1 0.1828 0.3656 0.6619  1 Au 2.56
Se2 0.1828 0.8172 0.6619  1 Au 2.56
Se3 0.3333 0.6667 0.1184  1 Pa 2.57
Se4 0.3656 0.1828 0.3381  1 Au 2.56
Se5 0.6344 0.8172 0.6619  1 Au 2.56
Se6 0.6667 0.3333 0.8816  1 Pa 2.57
Se7 0.8172 0.1828 0.3381  1 Au 2.56
Se8 0.8172 0.6344 0.3381  1 Au 2.56


(6)
## KSc2Sb (PBE)

Data for a relaxed structure of KSc2Sb.

Results
crystal system = tetragonal
mass density = 3.115 g/cm³
uncorrected energy = -4.554 eV/atom

Cell: 3.7597 3.7597 9.4584 Å, 90.00 90.00 90.00°
Closest atoms and distances in Å follow each position.
Atoms (fractional coordinates):
K1 0.0000 0.0000 0.0000  4 K 3.76
Sc1 0.5000 0.5000 0.3453  1 Sc 2.93, 4 Sb 3.03
Sc2 0.5000 0.5000 0.6547  1 Sc 2.93, 4 Sb 3.03
Sb1 0.0000 0.0000 0.5000  8 Sc 3.03


(7)
## Sm3MgN (PBE)

Data for a relaxed structure of Sm3MgN.

Results
crystal system = cubic
mass density = 6.482 g/cm³
uncorrected energy = -5.448 eV/atom

Cell: 5.0049 5.0049 5.0049 Å, 90.00 90.00 90.00°
Closest atoms and distances in Å follow each position.
Atoms (fractional coordinates):
Sm1 0.0000 0.0000 0.5000  2 N 2.50
Sm2 0.0000 0.5000 0.0000  2 N 2.50
Sm3 0.5000 0.0000 0.0000  2 N 2.50
Mg1 0.5000 0.5000 0.5000  12 Sm 3.54
N1 0.0000 0.0000 0.0000  6 Sm 2.50


(8)
## AcSmSbAu (PBE)

Data for a relaxed structure of AcSmSbAu.

Results
crystal system = cubic
mass density = 9.809 g/cm³
uncorrected energy = -4.823 eV/atom

Cell: 7.7823 7.7823 7.7823 Å, 90.00 90.00 90.00°
Closest atoms and distances in Å follow each position.
Atoms (fractional coordinates):
Ac1 0.0000 0.0000 0.0000  4 Sb 3.37, 4 Au 3.37
Ac2 0.0000 0.5000 0.5000  4 Sb 3.37, 4 Au 3.37
Ac3 0.5000 0.0000 0.5000  4 Sb 3.37, 4 Au 3.37
Ac4 0.5000 0.5000 0.0000  4 Sb 3.37, 4 Au 3.37
Sm1 0.0000 0.0000 0.5000  4 Sb 3.37, 4 Au 3.37
Sm2 0.0000 0.5000 0.0000  4 Sb 3.37, 4 Au 3.37
Sm3 0.5000 0.0000 0.0000  4 Sb 3.37, 4 Au 3.37
Sm4 0.5000 0.5000 0.5000  4 Sb 3.37, 4 Au 3.37
Sb1 0.2500 0.2500 0.2500  4 Ac 3.37, 4 Sm 3.37
Sb2 0.2500 0.7500 0.7500  4 Ac 3.37, 4 Sm 3.37
Sb3 0.7500 0.2500 0.7500  4 Ac 3.37, 4 Sm 3.37
Sb4 0.7500 0.7500 0.2500  4 Ac 3.37, 4 Sm 3.37
Au1 0.2500 0.2500 0.7500  4 Ac 3.37, 4 Sm 3.37
Au2 0.2500 0.7500 0.2500  4 Ac 3.37, 4 Sm 3.37
Au3 0.7500 0.2500 0.2500  4 Ac 3.37, 4 Sm 3.37
Au4 0.7500 0.7500 0.7500  4 Ac 3.37, 4 Sm 3.37


(9)
## MoPbCl6 (PBE)

Data for a relaxed structure of MoPbCl6.

Results
crystal system = monoclinic
mass density = 3.797 g/cm³
uncorrected energy = -4.147 eV/atom

Cell: 6.8862 6.8862 9.9945 Å, 91.75 91.75 72.33°
Closest atoms and distances in Å follow each position.
Atoms (fractional coordinates):
Mo1 0.0000 0.5000 0.0000  6 Cl 2.37-2.44
Mo2 0.5000 0.0000 0.5000  6 Cl 2.37-2.44
Pb1 0.0199 0.9801 0.7500  8 Cl 3.03-3.20
Pb2 0.9801 0.0199 0.2500  8 Cl 3.03-3.20
Cl1 0.1362 0.5604 0.2122  1 Mo 2.37
Cl2 0.1397 0.1998 0.5012  1 Mo 2.44
Cl3 0.1998 0.1397 0.0012  1 Mo 2.44
Cl4 0.2588 0.5951 0.8924  1 Mo 2.37
Cl5 0.4049 0.7412 0.6076  1 Mo 2.37
Cl6 0.4396 0.8638 0.2878  1 Mo 2.37
Cl7 0.5604 0.1362 0.7122  1 Mo 2.37
Cl8 0.5951 0.2588 0.3924  1 Mo 2.37
Cl9 0.7412 0.4049 0.1076  1 Mo 2.37
Cl10 0.8002 0.8603 0.9988  1 Mo 2.44
Cl11 0.8603 0.8002 0.4988  1 Mo 2.44
Cl12 0.8638 0.4396 0.7878  1 Mo 2.37


(10)
## KPd2Rh (PBE)

Data for a relaxed structure of KPd2Rh.

Results
crystal system = tetragonal
mass density = 5.152 g/cm³
ΔH_f (0 K) = 0.591 eV per atom
uncorrected energy = -4.118 eV/atom

Cell: 5.2258 5.2258 16.7532 Å, 90.00 90.00 90.00°
Closest atoms and distances in Å follow each position.
Atoms (fractional coordinates):
K1 0.0000 0.0000 0.0000  8 Pd 3.45-3.75, 4 Rh 3.70
K2 0.0000 0.5000 0.2500  8 Pd 3.45-3.75, 4 Rh 3.70
K3 0.5000 0.0000 0.7500  8 Pd 3.45-3.75, 4 Rh 3.70
K4 0.5000 0.5000 0.5000  8 Pd 3.45-3.75, 4 Rh 3.70
Pd1 0.0395 0.2500 0.6250  2 Rh 2.48, 2 Pd 2.65
Pd2 0.2500 0.5395 0.8750  2 Rh 2.48, 2 Pd 2.65
Pd3 0.2500 0.9605 0.3750  2 Rh 2.48, 2 Pd 2.65
Pd4 0.4605 0.2500 0.1250  2 Rh 2.48, 2 Pd 2.65
Pd5 0.5395 0.7500 0.1250  2 Rh 2.48, 2 Pd 2.65
Pd6 0.7500 0.0395 0.3750  2 Rh 2.48, 2 Pd 2.65
Pd7 0.7500 0.4605 0.8750  2 Rh 2.48, 2 Pd 2.65
Pd8 0.9605 0.7500 0.6250  2 Rh 2.48, 2 Pd 2.65
Rh1 0.0000 0.0000 0.5000  4 Pd 2.48
Rh2 0.0000 0.5000 0.7500  4 Pd 2.48
Rh3 0.5000 0.0000 0.2500  4 Pd 2.48
Rh4 0.5000 0.5000 0.0000  4 Pd 2.48


(11)
## SrLiP2 (PBE)

Data for a relaxed structure of SrLiP2.

Results
crystal system = tetragonal
mass density = 3.196 g/cm³
ΔH_f (0 K) = -0.406 eV per atom
uncorrected energy = -4.010 eV/atom

Cell: 4.4079 4.4079 4.1849 Å, 90.00 90.00 90.00°
Closest atoms and distances in Å follow each position.
Atoms (fractional coordinates):
Sr1 0.0000 0.0000 0.0000  8 P 3.04, 4 Li 3.12
Li1 0.5000 0.5000 0.0000  8 P 3.04, 4 Sr 3.12
P1 0.0000 0.5000 0.5000  4 Li 3.04, 4 Sr 3.04, 4 P 3.12
P2 0.5000 0.0000 0.5000  4 Li 3.04, 4 Sr 3.04, 4 P 3.12


(12)
## TbNd2Sn3Rh4 (PBE)

Data for a relaxed structure of TbNd2Sn3Rh4.

Results
crystal system = tetragonal
mass density = 9.004 g/cm³
ΔH_f (0 K) = -0.744 eV per atom
uncorrected energy = -6.302 eV/atom

Cell: 4.4188 4.4188 11.4770 Å, 90.00 90.00 90.00°
Closest atoms and distances in Å follow each position.
Atoms (fractional coordinates):
Tb1 0.0000 0.0000 0.0000  4 Rh 2.78
Nd1 0.0000 0.5000 0.7311  4 Sn 3.35, 8 Rh 3.42-3.45
Nd2 0.5000 0.0000 0.2689  4 Sn 3.35, 8 Rh 3.42-3.45
Sn1 0.0000 0.5000 0.3742  5 Rh 2.60-2.64
Sn2 0.5000 0.0000 0.6258  5 Rh 2.60-2.64
Sn3 0.5000 0.5000 0.0000  4 Rh 2.78
Rh1 0.0000 0.0000 0.5000  4 Sn 2.64
Rh2 0.0000 0.5000 0.1472  3 Sn 2.60-2.78, 2 Tb 2.78
Rh3 0.5000 0.0000 0.8528  3 Sn 2.60-2.78, 2 Tb 2.78
Rh4 0.5000 0.5000 0.5000  4 Sn 2.64